# 1
First-principles (PBE) data for a geometry-optimized Li3TiN2 structure, as listed in the Alexandria database.

a b c (Å): 8.158 8.158 8.158
angles (deg): 124.36 124.36 82.60
Fractional positions:
Li  0.024  0.274  0.750
Li  0.101  0.351  0.201
Li  0.101  0.899  0.750
Li  0.274  0.024  0.250
Li  0.351  0.101  0.701
Li  0.351  0.649  0.250
Li  0.649  0.351  0.750
Li  0.649  0.899  0.299
Li  0.726  0.976  0.750
Li  0.899  0.101  0.250
Li  0.899  0.649  0.799
Li  0.976  0.726  0.250
Ti  0.245  0.495  0.750
Ti  0.495  0.245  0.250
Ti  0.505  0.755  0.750
Ti  0.755  0.505  0.250
N  0.161  0.222  0.561
N  0.161  0.600  0.939
N  0.222  0.161  0.061
N  0.400  0.839  0.561
N  0.600  0.161  0.439
N  0.778  0.839  0.939
N  0.839  0.400  0.061
N  0.839  0.778  0.439

Summary:
Calculated density = 1.81 g/cm3
Formation energy (no corrections) = -0.41 eV per atom

---

# 2
First-principles (PBE) data for a geometry-optimized Sc6Zn5Tc structure, as listed in the Alexandria database.

a b c (Å): 7.440 7.440 6.677
angles (deg): 90.00 90.00 143.11
Fractional positions:
Sc  0.000  0.000  0.240
Sc  0.000  0.000  0.760
Sc  0.338  0.662  0.243
Sc  0.338  0.662  0.757
Sc  0.662  0.338  0.243
Sc  0.662  0.338  0.757
Zn  0.167  0.833  0.000
Zn  0.168  0.832  0.500
Zn  0.500  0.500  0.500
Zn  0.832  0.168  0.500
Zn  0.833  0.167  0.000
Tc  0.500  0.500  0.000

Summary:
Calculated density = 5.20 g/cm3

---

# 3
First-principles (PBE) data for a geometry-optimized NbNiAsBr2 structure, as listed in the Alexandria database.

a b c (Å): 5.111 5.111 5.135
angles (deg): 90.00 90.00 90.00
Fractional positions:
Nb  0.000  0.000  0.000
Ni  0.500  0.500  0.500
As  0.000  0.000  0.500
Br  0.000  0.500  0.000
Br  0.500  0.000  0.000

Summary:
ΔE to the lowest computed polymorph = 0 meV per atom
Calculated density = 4.78 g/cm3
Formation energy (no corrections) = 0.58 eV per atom

---

# 4
First-principles (PBE) data for a geometry-optimized MgBe4Tl structure, as listed in the Alexandria database.

a b c (Å): 4.799 4.799 4.799
angles (deg): 60.00 60.00 60.00
Fractional positions:
Mg  0.000  0.000  0.000
Be  0.110  0.630  0.630
Be  0.630  0.110  0.630
Be  0.630  0.630  0.110
Be  0.630  0.630  0.630
Tl  0.250  0.250  0.250

Summary:
Calculated density = 5.62 g/cm3

---

# 5
First-principles (PBE) data for a geometry-optimized MnCr2Ni structure, as listed in the Alexandria database.

a b c (Å): 4.362 4.362 4.362
angles (deg): 131.65 131.65 70.78
Fractional positions:
Mn  0.000  0.000  0.000
Cr  0.500  0.500  0.000
Cr  0.750  0.250  0.500
Ni  0.250  0.750  0.500

Summary:
Calculated density = 7.96 g/cm3

---

# 6
First-principles (PBE) data for a geometry-optimized TbGdGeIr structure, as listed in the Alexandria database.

a b c (Å): 4.993 4.993 4.993
angles (deg): 60.00 60.00 60.00
Fractional positions:
Tb  0.000  0.000  0.000
Gd  0.500  0.500  0.500
Ge  0.750  0.750  0.750
Ir  0.250  0.250  0.250

Summary:
Calculated density = 10.96 g/cm3

---

Across the entries above, energy takes the values -131.08; -59.27; -20.95; -16.51; -33.74; -34.86 eV/cell, respectively.